# 1
AlZn2Se | GGA-PBEsol | optimized geometry

Geometry as CIF:
```
data_AlZn2Se
_symmetry_space_group_name_H-M 'R -3 m'
_symmetry_Int_Tables_number 166
_symmetry_space_group_name_Hall '-R 3 2"'
_cell_length_a 2.8028
_cell_length_b 2.8028
_cell_length_c 29.5811
_cell_angle_alpha 90.00
_cell_angle_beta 90.00
_cell_angle_gamma 120.00
loop_
_atom_site_label
_atom_site_type_symbol
_atom_site_fract_x
_atom_site_fract_y
_atom_site_fract_z
Al1 Al 0.0000 0.0000 0.0000
Zn1 Zn 0.0000 0.0000 0.2562
Se1 Se 0.0000 0.0000 0.5000
```

Results
The density of states at the Fermi level is 1.42 states/eV/f.u. The polymorph energy (0 for the lowest one) comes out at 0.065 eV/atom. The value obtained for the density is 5.86 Mg/m³. Its final energy is -31.3 eV per cell. The raw formation energy is 0.7 eV per formula unit.


# 2
Re3HI | GGA-PBEsol | optimized geometry

Geometry as CIF:
```
data_Re3HI
_symmetry_space_group_name_H-M 'P m -3 m'
_symmetry_Int_Tables_number 221
_symmetry_space_group_name_Hall '-P 4 2 3'
_cell_length_a 4.066
_cell_length_b 4.066
_cell_length_c 4.066
_cell_angle_alpha 90.00
_cell_angle_beta 90.00
_cell_angle_gamma 90.00
loop_
_atom_site_label
_atom_site_type_symbol
_atom_site_fract_x
_atom_site_fract_y
_atom_site_fract_z
Re1 Re 0.000 0.000 0.500
H1 H 0.000 0.000 0.000
I1 I 0.500 0.500 0.500
```

Results
The density of states at the Fermi level is 5.95 states/eV/f.u. The value obtained for the density is 16.95 Mg/m³. Its final energy is -38.6 eV per cell.


# 3
ZnCrPSe2 | GGA-PBEsol | optimized geometry

Geometry as CIF:
```
data_ZnCrPSe2
_symmetry_space_group_name_H-M 'P 4/m m m'
_symmetry_Int_Tables_number 123
_symmetry_space_group_name_Hall '-P 4 2'
_cell_length_a 4.569
_cell_length_b 4.569
_cell_length_c 4.735
_cell_angle_alpha 90.00
_cell_angle_beta 90.00
_cell_angle_gamma 90.00
loop_
_atom_site_label
_atom_site_type_symbol
_atom_site_fract_x
_atom_site_fract_y
_atom_site_fract_z
Zn1 Zn 0.000 0.000 0.000
Cr1 Cr 0.000 0.000 0.500
P1 P 0.500 0.500 0.000
Se1 Se 0.000 0.500 0.500
```

Results
The density of states at the Fermi level is 4.79 states/eV/f.u. The value obtained for the density is 5.15 Mg/m³. Its final energy is -21.9 eV per cell. The raw formation energy is 3.4 eV per formula unit.


# 4
Na2BrCl | GGA-PBEsol | optimized geometry

Geometry as CIF:
```
data_Na2BrCl
_symmetry_space_group_name_H-M 'I -4 2 d'
_symmetry_Int_Tables_number 122
_symmetry_space_group_name_Hall 'I -4 2bw'
_cell_length_a 7.084
_cell_length_b 7.084
_cell_length_c 9.006
_cell_angle_alpha 90.00
_cell_angle_beta 90.00
_cell_angle_gamma 90.00
loop_
_atom_site_label
_atom_site_type_symbol
_atom_site_fract_x
_atom_site_fract_y
_atom_site_fract_z
Na1 Na 0.232 0.250 0.125
Br1 Br 0.000 0.000 0.500
Cl1 Cl 0.000 0.000 0.000
```

Results
The density of states at the Fermi level is 0.00 states/eV/f.u. The polymorph energy (0 for the lowest one) comes out at 0.087 eV/atom. The value obtained for the density is 2.37 Mg/m³. Its final energy is -52.0 eV per cell. The raw formation energy is -6.3 eV per formula unit.


# 5
BeReP | GGA-PBEsol | optimized geometry

Geometry as CIF:
```
data_BeReP
_symmetry_space_group_name_H-M 'I 4 m m'
_symmetry_Int_Tables_number 107
_symmetry_space_group_name_Hall 'I 4 -2'
_cell_length_a 3.005
_cell_length_b 3.005
_cell_length_c 7.443
_cell_angle_alpha 90.00
_cell_angle_beta 90.00
_cell_angle_gamma 90.00
loop_
_atom_site_label
_atom_site_type_symbol
_atom_site_fract_x
_atom_site_fract_y
_atom_site_fract_z
Be1 Be 0.000 0.000 0.000
Re1 Re 0.000 0.000 0.672
P1 P 0.000 0.000 0.336
```

Results
The density of states at the Fermi level is 0.25 states/eV/f.u. The polymorph energy (0 for the lowest one) comes out at 0.000 eV/atom. The value obtained for the density is 11.18 Mg/m³. Its final energy is -49.0 eV per cell. The energy of formation from the pure elements is -0.47 eV per atom.


# 6
SrSbPt | GGA-PBEsol | optimized geometry

Geometry as CIF:
```
data_SrSbPt
_symmetry_space_group_name_H-M 'P -6 m 2'
_symmetry_Int_Tables_number 187
_symmetry_space_group_name_Hall 'P -6 2'
_cell_length_a 4.5095
_cell_length_b 4.5095
_cell_length_c 4.4428
_cell_angle_alpha 90.00
_cell_angle_beta 90.00
_cell_angle_gamma 120.00
loop_
_atom_site_label
_atom_site_type_symbol
_atom_site_fract_x
_atom_site_fract_y
_atom_site_fract_z
Sr1 Sr 0.0000 0.0000 0.0000
Sb1 Sb 0.6667 0.3333 0.5000
Pt1 Pt 0.3333 0.6667 0.5000
```

Results
The density of states at the Fermi level is 1.58 states/eV/f.u. The value obtained for the density is 8.58 Mg/m³. Its final energy is -16.1 eV per cell. The raw formation energy is -2.8 eV per formula unit.


# 7
ZrVFe | GGA-PBEsol | optimized geometry

Geometry as CIF:
```
data_ZrVFe
_symmetry_space_group_name_H-M 'A m m 2'
_symmetry_Int_Tables_number 38
_cell_length_a 8.190
_cell_length_b 5.043
_cell_length_c 8.515
_cell_angle_alpha 90.00
_cell_angle_beta 90.00
_cell_angle_gamma 90.00
loop_
_symmetry_equiv_pos_as_xyz
'x,y,z'
'-x,-y,z'
'-x,y,z'
'x,-y,z'
'x,y+1/2,z+1/2'
'-x,-y+1/2,z+1/2'
'-x,y+1/2,z+1/2'
'x,-y+1/2,z+1/2'
loop_
_atom_site_label
_atom_site_type_symbol
_atom_site_fract_x
_atom_site_fract_y
_atom_site_fract_z
Zr1 Zr 0.184 0.000 0.000
Zr2 Zr 0.301 0.000 0.333
V1 V 0.000 0.000 0.510
V2 V 0.500 0.000 0.835
V3 V 0.500 0.249 0.083
Fe1 Fe 0.000 0.248 0.256
Fe2 Fe 0.248 0.000 0.667
```

Results
The density of states at the Fermi level is 2.92 states/eV/f.u. The value obtained for the density is 7.48 Mg/m³. Its final energy is -225.9 eV per cell. The energy of formation from the pure elements is -0.18 eV per atom.


# 8
AsPtBr | GGA-PBEsol | optimized geometry

Geometry as CIF:
```
data_AsPtBr
_symmetry_space_group_name_H-M 'F -4 3 m'
_symmetry_Int_Tables_number 216
_symmetry_space_group_name_Hall 'F -4 2 3'
_cell_length_a 6.354
_cell_length_b 6.354
_cell_length_c 6.354
_cell_angle_alpha 90.00
_cell_angle_beta 90.00
_cell_angle_gamma 90.00
loop_
_atom_site_label
_atom_site_type_symbol
_atom_site_fract_x
_atom_site_fract_y
_atom_site_fract_z
As1 As 0.000 0.000 0.000
Pt1 Pt 0.250 0.250 0.750
Br1 Br 0.250 0.250 0.250
```

Results
The density of states at the Fermi level is 1.15 states/eV/f.u. The polymorph energy (0 for the lowest one) comes out at 0.863 eV/atom. The value obtained for the density is 9.06 Mg/m³. Its final energy is -48.4 eV per cell. The raw formation energy is 1.8 eV per formula unit.


# 9
CuIr3 | GGA-PBEsol | optimized geometry

Geometry as CIF:
```
data_CuIr3
_symmetry_space_group_name_H-M 'R -3 m'
_symmetry_Int_Tables_number 166
_symmetry_space_group_name_Hall '-R 3 2"'
_cell_length_a 2.6976
_cell_length_b 2.6976
_cell_length_c 25.7762
_cell_angle_alpha 90.00
_cell_angle_beta 90.00
_cell_angle_gamma 120.00
loop_
_atom_site_label
_atom_site_type_symbol
_atom_site_fract_x
_atom_site_fract_y
_atom_site_fract_z
Cu1 Cu 0.0000 0.0000 0.0000
Ir1 Ir 0.0000 0.0000 0.2516
Ir2 Ir 0.0000 0.0000 0.5000
```

Results
The density of states at the Fermi level is 3.04 states/eV/f.u. The value obtained for the density is 19.63 Mg/m³. Its final energy is -100.7 eV per cell. The energy of formation from the pure elements is 0.06 eV per atom.


# 10
AlFe2B2 | GGA-PBEsol | optimized geometry

Geometry as CIF:
```
data_AlFe2B2
_symmetry_space_group_name_H-M 'P 4/m b m'
_symmetry_Int_Tables_number 127
_symmetry_space_group_name_Hall '-P 4 2ab'
_cell_length_a 5.555
_cell_length_b 5.555
_cell_length_c 2.795
_cell_angle_alpha 90.00
_cell_angle_beta 90.00
_cell_angle_gamma 90.00
loop_
_atom_site_label
_atom_site_type_symbol
_atom_site_fract_x
_atom_site_fract_y
_atom_site_fract_z
Al1 Al 0.000 0.000 0.000
Fe1 Fe 0.171 0.329 0.500
B1 B 0.113 0.613 0.000
```

Results
The density of states at the Fermi level is 2.20 states/eV/f.u. The value obtained for the density is 6.17 Mg/m³. Its final energy is -76.4 eV per cell. The energy of formation from the pure elements is -0.43 eV per atom.


- Look up the final energy of the eighth one.
  -48.4 eV per cell